(1)
Material: AcAl2Zn
Method: DFT, PBE-GGA
State: relaxed

a b c (Å): 4.372 4.372 6.378
angles (deg): 69.95 69.95 60.00
Fractional positions:
Ac  0.000  0.000  0.000
Zn  0.500  0.500  0.500
Al  0.207  0.207  0.378
Al  0.793  0.793  0.622

Summary:
- space-group type = No. 166
- formation energy from the elements (kJ per mole of atoms) = -28.0

(2)
Material: CrAs2P
Method: DFT, PBE-GGA
State: relaxed

a b c (Å): 4.549 4.549 3.220
angles (deg): 90.00 90.00 90.00
Last column: magnetic moment on the atom in μB.
Fractional positions:
As  0.000  0.000  0.000  -0.05
As  0.500  0.500  0.000  -0.05
Cr  0.500  0.000  0.500  3.34
P  0.000  0.500  0.500  -0.04

Summary:
- space-group type = No. 123
- formation energy from the elements (kJ per mole of atoms) = 40.4

So what do the calculations give for calculated total energy? Going down the list: -3.51; -5.66 eV/atom.